[1]
First-principles (PBE) data for crystalline Pr5Ho6 at its relaxed geometry, as listed in Alexandria.

Properties
E_tot	-4.55	eV/atom
ΔH_f (0 K)	0.115	eV per atom
space-group type	Immm, No. 71

a = 9.4992 Å, b = 9.4992 Å, c = 9.4992 Å
α = 145.47°, β = 128.82°, γ = 63.22°
Fractional positions:
Pr  0.0000  0.0000  0.0000
Pr  0.1623  0.6623  0.5000
Pr  0.3018  0.3018  0.0000
Pr  0.6982  0.6982  0.0000
Pr  0.8377  0.3377  0.5000
Ho  0.1600  0.8644  0.2957
Ho  0.2947  0.5000  0.7947
Ho  0.4313  0.1356  0.2957
Ho  0.5687  0.8644  0.7043
Ho  0.7053  0.5000  0.2053
Ho  0.8400  0.1356  0.7043

---

[2]
First-principles (PBE) data for crystalline SrIn2NiI at its relaxed geometry, as listed in Alexandria.

Properties
E_tot	-3.35	eV/atom
formation energy without anion corrections	-2.3	eV per formula unit
space-group type	P4/mmm, No. 123

a = 4.9647 Å, b = 4.9647 Å, c = 6.2249 Å
α = 90.00°, β = 90.00°, γ = 90.00°
Fractional positions:
Sr  0.0000  0.0000  0.0000
In  0.0000  0.5000  0.5000
In  0.5000  0.0000  0.5000
Ni  0.0000  0.0000  0.5000
I  0.5000  0.5000  0.0000

---

[3]
First-principles (PBE) data for crystalline MgBeAu3 at its relaxed geometry, as listed in Alexandria.

Properties
E_tot	-2.14	eV/atom
ΔH_f (0 K)	0.888	eV per atom
space-group type	Pm-3m, No. 221

a = 4.8926 Å, b = 4.8926 Å, c = 4.8926 Å
α = 90.00°, β = 90.00°, γ = 90.00°
Fractional positions:
Mg  0.0000  0.0000  0.0000
Be  0.5000  0.5000  0.5000
Au  0.0000  0.0000  0.5000
Au  0.0000  0.5000  0.0000
Au  0.5000  0.0000  0.0000

---

[4]
First-principles (PBE) data for crystalline Ac4La5Tb2 at its relaxed geometry, as listed in Alexandria.

Properties
E_tot	-4.40	eV/atom
ΔH_f (0 K)	0.174	eV per atom
space-group type	C2/m, No. 12

a = 9.4990 Å, b = 9.4990 Å, c = 12.7163 Å
α = 93.55°, β = 93.55°, γ = 22.25°
Fractional positions:
Ac  0.0408  0.0408  0.2671
Ac  0.2813  0.2813  0.6359
Ac  0.7187  0.7187  0.3641
Ac  0.9592  0.9592  0.7329
La  0.1392  0.1392  0.8212
La  0.1904  0.1904  0.0900
La  0.5000  0.5000  0.0000
La  0.8096  0.8096  0.9100
La  0.8608  0.8608  0.1788
Tb  0.0920  0.0920  0.5397
Tb  0.9080  0.9080  0.4603

---

[5]
First-principles (PBE) data for crystalline La5TbNd2Er at its relaxed geometry, as listed in Alexandria.

Properties
E_tot	-4.55	eV/atom
ΔH_f (0 K)	0.268	eV per atom
space-group type	I4/mcm, No. 140

a = 10.5377 Å, b = 10.5377 Å, c = 10.5377 Å
α = 131.15°, β = 131.15°, γ = 71.57°
Fractional positions:
La  0.0000  0.0000  0.0000
La  0.0759  0.5759  0.9398
La  0.1361  0.0759  0.5000
La  0.3639  0.8639  0.9398
La  0.4241  0.3639  0.5000
La  0.5000  0.5000  0.0000
La  0.5759  0.6361  0.5000
La  0.6361  0.1361  0.0602
La  0.8639  0.9241  0.5000
La  0.9241  0.4241  0.0602
Tb  0.2500  0.2500  0.0000
Tb  0.7500  0.7500  0.0000
Nd  0.1223  0.3777  0.5000
Nd  0.3777  0.8777  0.2553
Nd  0.6223  0.1223  0.7447
Nd  0.8777  0.6223  0.5000
Er  0.2500  0.7500  0.5000
Er  0.7500  0.2500  0.5000

---

[6]
First-principles (PBE) data for crystalline Zn2PbW at its relaxed geometry, as listed in Alexandria.

Properties
E_tot	-4.12	eV/atom
ΔH_f (0 K)	0.684	eV per atom
space-group type	I4/mmm, No. 139

a = 5.3384 Å, b = 5.3384 Å, c = 5.3384 Å
α = 136.44°, β = 136.44°, γ = 63.30°
Fractional positions:
Zn  0.2500  0.7500  0.5000
Zn  0.7500  0.2500  0.5000
Pb  0.0000  0.0000  0.0000
W  0.5000  0.5000  0.0000

---

[7]
First-principles (PBE) data for crystalline Bi2HRhPb at its relaxed geometry, as listed in Alexandria.

Properties
E_tot	-4.35	eV/atom
space-group type	P4/mmm, No. 123

a = 5.6707 Å, b = 5.6707 Å, c = 3.4849 Å
α = 90.00°, β = 90.00°, γ = 90.00°
Fractional positions:
Bi  0.0000  0.5000  0.0000
Bi  0.5000  0.0000  0.0000
H  0.0000  0.0000  0.5000
Rh  0.0000  0.0000  0.0000
Pb  0.5000  0.5000  0.5000

---

[8]
First-principles (PBE) data for crystalline Sr2Cu3NiSn4 at its relaxed geometry, as listed in Alexandria.

Properties
E_tot	-4.09	eV/atom
ΔH_f (0 K)	-0.343	eV per atom
space-group type	P-4m2, No. 115

a = 4.5888 Å, b = 4.5888 Å, c = 10.6574 Å
α = 90.00°, β = 90.00°, γ = 90.00°
Fractional positions:
Sr  0.0000  0.5000  0.2390
Sr  0.5000  0.0000  0.7610
Cu  0.0000  0.0000  0.0000
Cu  0.0000  0.5000  0.6367
Cu  0.5000  0.0000  0.3633
Ni  0.5000  0.5000  0.0000
Sn  0.0000  0.0000  0.5000
Sn  0.0000  0.5000  0.8837
Sn  0.5000  0.0000  0.1163
Sn  0.5000  0.5000  0.5000

---

[9]
First-principles (PBE) data for crystalline MgAg2 at its relaxed geometry, as listed in Alexandria.

Properties
E_tot	-2.31	eV/atom
ΔH_f (0 K)	0.122	eV per atom
space-group type	Fm-3m, No. 225

a = 4.5006 Å, b = 4.5006 Å, c = 4.5006 Å
α = 60.00°, β = 60.00°, γ = 60.00°
Fractional positions:
Mg  0.0000  0.0000  0.0000
Ag  0.2500  0.2500  0.2500
Ag  0.7500  0.7500  0.7500

---

[10]
First-principles (PBE) data for crystalline K2SnH4 at its relaxed geometry, as listed in Alexandria.

Properties
E_tot	-2.78	eV/atom
space-group type	I4/mmm, No. 139

a = 7.6227 Å, b = 7.6227 Å, c = 7.6227 Å
α = 146.96°, β = 146.96°, γ = 47.43°
Fractional positions:
K  0.1445  0.1445  0.0000
K  0.8555  0.8555  0.0000
Sn  0.5000  0.5000  0.0000
H  0.0000  0.5000  0.5000
H  0.3412  0.3412  0.0000
H  0.5000  0.0000  0.5000
H  0.6588  0.6588  0.0000

---

[11]
First-principles (PBE) data for crystalline Mg2TeO at its relaxed geometry, as listed in Alexandria.

Properties
E_tot	-3.41	eV/atom
formation energy without anion corrections	-2.4	eV per formula unit
space-group type	Fm-3m, No. 225

a = 4.6761 Å, b = 4.6761 Å, c = 4.6761 Å
α = 60.00°, β = 60.00°, γ = 60.00°
Fractional positions:
Mg  0.2500  0.2500  0.2500
Mg  0.7500  0.7500  0.7500
Te  0.0000  0.0000  0.0000
O  0.5000  0.5000  0.5000

---

[12]
First-principles (PBE) data for crystalline TaRu2Au at its relaxed geometry, as listed in Alexandria.

Properties
E_tot	-8.38	eV/atom
ΔH_f (0 K)	0.040	eV per atom
space-group type	P4mm, No. 99

a = 2.8115 Å, b = 2.8115 Å, c = 8.0548 Å
α = 90.00°, β = 90.00°, γ = 90.00°
Fractional positions:
Ta  0.0000  0.0000  0.0000
Ru  0.0000  0.0000  0.5330
Ru  0.5000  0.5000  0.7413
Au  0.5000  0.5000  0.2632

---

Look up the E_tot of the seventh one. -4.35 eV/atom

---

E_tot of number 9 (MgAg2)? -2.31 eV/atom